Material: Pm3Ho5Er2
Method: DFT, PBE
State: relaxed

Calculated values
polymorph energy (0 for the lowest one): 0.1488 eV per atom
magnetic moment: 0.00 μB per atom
calculated formation energy: 0.34 eV per atom

Cell lengths 12.872, 16.811, 6.291 Å; angles 90.00, 90.00, 90.00 degrees
Space group Ibam (No. 72)
Symmetry-distinct sites (fractional):
1 Pm 0.000 0.000 0.250 (multiplicity 4)
2 Pm 0.158 0.247 0.000 (multiplicity 8)
3 Ho 0.000 0.500 0.250 (multiplicity 4)
4 Ho 0.099 0.344 0.500 (multiplicity 8)
5 Ho 0.248 0.500 0.250 (multiplicity 8)
6 Er 0.102 0.156 0.500 (multiplicity 8)